Compound: Y2GaSe
Source: the Alexandria database
Functional: PBE-GGA
Structure: optimized geometry

Properties
E_form (uncorrected)	-115.60	kJ per mole of atoms
offset from the most stable computed form	70	meV per atom
theoretical density	5.43	g/cm3
total magnetic moment	0.000	μB/atom

Lattice parameters (Å, degrees): 3.9682 3.9682 21.9818 90.00 90.00 120.00
Space group R-3m (No. 166, hexagonal axes)
Asymmetric unit:
Y 0.0000 0.0000 0.2486
Ga 0.0000 0.0000 0.0000
Se 0.0000 0.0000 0.5000

=====

Compound: Y8GaSe6
Source: the Alexandria database
Functional: PBE-GGA
Structure: optimized geometry

Properties
E_form (uncorrected)	-127.03	kJ per mole of atoms
theoretical density	5.36	g/cm3
total magnetic moment	0.000	μB/atom

Lattice parameters (Å, degrees): 10.5269 10.5269 4.0474 90.00 90.00 120.00
Space group P-3 (No. 147)
Asymmetric unit:
Y 0.0330 0.3122 0.2472
Y 0.3333 0.6667 0.7525
Ga 0.0000 0.0000 0.0000
Se 0.1304 0.6492 0.2500

=====

Compound: Y7GaSe5
Source: the Alexandria database
Functional: PBE-GGA
Structure: optimized geometry

Properties
E_form (uncorrected)	-142.79	kJ per mole of atoms
theoretical density	5.51	g/cm3
total magnetic moment	0.000	μB/atom

Lattice parameters (Å, degrees): 4.0278 24.2007 7.0142 90.00 106.67 90.00
Space group P2_1/m (No. 11)
Asymmetric unit:
Y 0.0296 0.2500 0.0594
Y 0.1388 0.5365 0.2778
Y 0.3093 0.1800 0.6190
Y 0.4066 0.6177 0.8127
Ga 0.3080 0.7500 0.6173
Se 0.0522 0.6425 0.1040
Se 0.2235 0.0722 0.4468
Se 0.5000 0.0000 0.0000